{
  "formula": "RePRuS2",
  "functional": "PBE-GGA",
  "state": "relaxed",
  "lattice_angstrom": [[-3.250, -1.640, 2.734], [3.041, -2.767, 1.955], [0.992, 3.336, 3.179]],
  "species": ["Re", "S", "S", "P", "Ru"],
  "frac_coords": [[0.000, 0.000, 0.000], [0.000, 0.500, 0.000], [0.500, 0.000, 0.000], [0.000, 0.000, 0.500], [0.500, 0.500, 0.500]],
  "spacegroup": "P4/mmm",
  "formation_energy_uncorrected_mev_per_atom": 1079,
  "e_tot_ev_per_atom": -5.9988
}